Here is a geometry-optimized ErTlSn structure from Alexandria via LeMat-Bulk. Energies are from PBE.

Unit cell a=3.3325 b=3.3325 c=8.5806 alpha=101.20 beta=101.20 gamma=90.00
Site moments in Bohr magnetons follow the coordinates.
Fractional coordinates of all 3 atoms:
Tl: 0.1302 0.1302 0.2605  0.01
Sn: 0.9519 0.9519 0.9039  0.01
Er: 0.7678 0.7678 0.5356  0.30

## Properties
- Polymorph energy (0 for the lowest one): 0.4126 eV per atom
- Energy of formation from the pure elements: 101 meV/atom
- Crystal system: tetragonal
- Raw total energy: -3.54 eV/atom
- Size of the total moment: 0.127 μB per atom

=====

Here is a geometry-optimized Rb2LiErF6 structure from Alexandria via LeMat-Bulk. Energies are from PBE.

Unit cell a=6.1133 b=6.1135 c=8.6440 alpha=90.00 beta=90.00 gamma=90.00
Fractional coordinates of all 20 atoms:
Rb: 0.5000 0.7501 0.2500
Rb: 0.0000 0.2499 0.7500
Rb: 0.5000 0.7501 0.7500
Rb: 0.0000 0.2499 0.2500
Li: 0.5000 0.2499 0.5000
Li: 0.0000 0.7501 0.0000
Er: 0.0000 0.7498 0.5000
Er: 0.5000 0.2502 0.0000
F: 0.5000 0.2500 0.2504
F: 0.5000 0.2500 0.7496
F: 0.0000 0.7500 0.2496
F: 0.0000 0.7500 0.7504
F: 0.2505 0.0001 0.5000
F: 0.7495 0.0001 0.5000
F: 0.2504 0.4994 0.5000
F: 0.7496 0.4994 0.5000
F: 0.7504 0.5006 0.0000
F: 0.2496 0.5006 0.0000
F: 0.2495 0.9999 0.0000
F: 0.7505 0.9999 0.0000

## Properties
- Crystal system: cubic
- Raw total energy: -5.33 eV/atom
- Size of the total moment: 0.000 μB per atom

=====

Here is a geometry-optimized Dy2Pd4Au3 structure from Alexandria via LeMat-Bulk. Energies are from PBE.

Unit cell a=4.8141 b=4.6784 c=8.6714 alpha=93.05 beta=90.00 gamma=120.96
Fractional coordinates of all 9 atoms:
Dy: 0.3333 0.6666 0.2247
Dy: 0.6667 0.3334 0.7753
Pd: 0.6667 0.3333 0.1011
Pd: 0.9981 0.9962 0.6639
Pd: 0.0019 0.0038 0.3361
Pd: 0.3333 0.6667 0.8989
Au: 0.3301 0.6602 0.5679
Au: 0.0000 0.0000 0.0000
Au: 0.6699 0.3398 0.4321

## Properties
- Energy of formation from the pure elements: -688 meV/atom
- Crystal system: monoclinic
- Raw total energy: -5.11 eV/atom
- Size of the total moment: 0.000 μB per atom

=====

Here is a geometry-optimized Nd5PuSn5 structure from Alexandria via LeMat-Bulk. Energies are from PBE.

Unit cell a=6.3334 b=7.8462 c=8.8205 alpha=106.58 beta=90.00 gamma=113.80
Site moments in Bohr magnetons follow the coordinates.
Fractional coordinates of all 11 atoms:
Nd: 0.6710 0.3419 0.3340  -0.02
Nd: 0.6669 0.3337 0.8305  -0.01
Nd: 0.0000 0.0000 0.5000  0.06
Nd: 0.3331 0.6663 0.1695  -0.01
Nd: 0.3290 0.6581 0.6660  -0.02
Pu: 0.0000 0.0000 0.0000  5.23
Sn: 0.8392 0.6783 0.1646  -0.02
Sn: 0.8382 0.6764 0.6706  0.00
Sn: 0.5000 0.0000 0.0000  0.00
Sn: 0.1618 0.3236 0.3294  0.00
Sn: 0.1608 0.3217 0.8354  -0.02

## Properties
- Energy of formation from the pure elements: -383 meV/atom
- Crystal system: monoclinic
- Raw total energy: -5.67 eV/atom
- Size of the total moment: 0.525 μB per atom

=====

Here is a geometry-optimized BiRhPb2F structure from Alexandria via LeMat-Bulk. Energies are from PBE.

Unit cell a=6.0911 b=5.0076 c=6.0911 alpha=90.00 beta=90.00 gamma=90.00
Fractional coordinates of all 5 atoms:
Pb: 0.0000 0.0000 0.5000
Pb: 0.5000 0.0000 0.0000
Rh: 0.0000 0.5000 0.0000
Bi: 0.0000 0.0000 0.0000
F: 0.5000 0.5000 0.5000

## Properties
- Crystal system: tetragonal
- Raw total energy: -3.65 eV/atom
- Size of the total moment: 0.000 μB per atom

=====

Here is a geometry-optimized K2GaSb structure from Alexandria via LeMat-Bulk. Energies are from PBE.

Unit cell a=4.9315 b=4.9315 c=12.2693 alpha=78.41 beta=78.41 gamma=90.00
Fractional coordinates of all 8 atoms:
Sb: 0.0000 0.0000 0.0000
Sb: 0.7500 0.2500 0.5000
K: 0.6195 0.1250 0.2500
K: 0.1305 0.6250 0.2500
K: 0.3750 0.3805 0.7500
K: 0.8750 0.8695 0.7500
Ga: 0.5000 0.5000 0.0000
Ga: 0.2500 0.7500 0.5000

## Properties
- Polymorph energy (0 for the lowest one): 0.3352 eV per atom
- Crystal system: tetragonal
- Raw total energy: -2.19 eV/atom
- Size of the total moment: 0.032 μB per atom

=====

Here is a geometry-optimized FeAgI6 structure from Alexandria via LeMat-Bulk. Energies are from PBE.

Unit cell a=10.6123 b=7.9424 c=5.8414 alpha=86.75 beta=85.13 gamma=48.08
Site moments in Bohr magnetons follow the coordinates.
Fractional coordinates of all 8 atoms:
Fe: 0.0000 0.0000 0.0000  2.78
Ag: 0.0000 0.0000 0.5000  0.01
I: 0.4736 0.0000 0.2538  0.03
I: 0.9766 0.3109 0.7788  0.04
I: 0.5264 0.0000 0.7462  0.03
I: 0.7125 0.3109 0.2212  0.04
I: 0.0234 0.6891 0.2212  0.04
I: 0.2875 0.6891 0.7788  0.04

## Properties
- Polymorph energy (0 for the lowest one): 0.0337 eV per atom
- Crystal system: monoclinic
- Raw total energy: -2.56 eV/atom
- Size of the total moment: 0.405 μB per atom

=====

Here is a geometry-optimized CsNaInHg3 structure from Alexandria via LeMat-Bulk. Energies are from PBE.

Unit cell a=7.7010 b=7.5369 c=8.2159 alpha=117.30 beta=90.00 gamma=90.00
Fractional coordinates of all 12 atoms:
Cs: 0.7500 0.2912 0.5825
Cs: 0.2500 0.7088 0.4175
Na: 0.2500 0.9464 0.8928
Na: 0.7500 0.0536 0.1072
In: 0.2500 0.3776 0.7552
In: 0.7500 0.6224 0.2448
Hg: 0.2500 0.1599 0.3198
Hg: 0.0000 0.2881 0.0000
Hg: 0.5000 0.7119 0.0000
Hg: 0.5000 0.2881 0.0000
Hg: 0.0000 0.7119 0.0000
Hg: 0.7500 0.8401 0.6802

## Properties
- Energy of formation from the pure elements: -125 meV/atom
- Crystal system: orthorhombic
- Raw total energy: -1.09 eV/atom
- Size of the total moment: 0.000 μB per atom

=====

Here is a geometry-optimized YThV structure from Alexandria via LeMat-Bulk. Energies are from PBE.

Unit cell a=3.3483 b=3.3483 c=14.3555 alpha=96.70 beta=96.70 gamma=90.00
Fractional coordinates of all 6 atoms:
V: 0.2702 0.2702 0.5404
V: 0.7298 0.7298 0.4596
Th: 0.1564 0.1564 0.3129
Th: 0.8436 0.8436 0.6871
Y: 0.5610 0.5610 0.1220
Y: 0.4390 0.4390 0.8780

## Properties
- Energy of formation from the pure elements: 314 meV/atom
- Crystal system: tetragonal
- Raw total energy: -7.35 eV/atom
- Size of the total moment: 0.000 μB per atom

=====

Here is a geometry-optimized MnCo21B6Mo structure from Alexandria via LeMat-Bulk. Energies are from PBE.

Unit cell a=7.3782 b=7.3782 c=7.3782 alpha=90.00 beta=60.00 gamma=120.00
Site moments in Bohr magnetons follow the coordinates.
Fractional coordinates of all 29 atoms:
Mn: 0.5000 0.7500 0.7500  2.81
Co: 0.9996 0.9998 0.6619  1.27
Co: 0.3384 0.3386 0.6619  1.27
Co: 0.3384 0.9998 0.6619  1.27
Co: 0.0004 0.3386 0.9998  1.27
Co: 0.6616 0.9998 0.9998  1.27
Co: 0.6616 0.9998 0.3386  1.27
Co: 0.0004 0.6619 0.9998  1.27
Co: 0.6616 0.6619 0.3386  1.27
Co: 0.6616 0.6619 0.9998  1.27
Co: 0.9996 0.9998 0.3386  1.27
Co: 0.3384 0.9998 0.9998  1.27
Co: 0.3384 0.3386 0.9998  1.27
Co: 0.7653 0.3826 0.8521  0.42
Co: 0.2347 0.3826 0.3826  0.42
Co: 0.2347 0.8521 0.3826  0.42
Co: 0.7653 0.3826 0.3826  0.42
Co: 0.2389 0.6194 0.1417  0.54
Co: 0.7611 0.6194 0.6194  0.54
Co: 0.7611 0.1417 0.6194  0.54
Co: 0.2389 0.6194 0.6194  0.54
Co: 0.0000 0.0000 0.0000  1.64
B: 0.5503 0.2752 0.7248  -0.07
B: 0.0000 0.7248 0.7248  -0.07
B: 0.0000 0.2752 0.7248  -0.07
B: 0.4497 0.7248 0.2752  -0.07
B: 0.0000 0.2752 0.2752  -0.07
B: 0.0000 0.7248 0.2752  -0.07
Mo: 0.5000 0.2500 0.2500  -0.26

## Properties
- Energy of formation from the pure elements: -190 meV/atom
- Crystal system: cubic
- Raw total energy: -7.41 eV/atom
- Size of the total moment: 0.778 μB per atom

=====

Here is a geometry-optimized LiAgCl2 structure from Alexandria via LeMat-Bulk. Energies are from PBE.

Unit cell a=4.7691 b=4.7691 c=4.7691 alpha=60.00 beta=60.00 gamma=60.00
Fractional coordinates of all 4 atoms:
Li: 0.0000 0.0000 0.0000
Ag: 0.5000 0.5000 0.5000
Cl: 0.2500 0.2500 0.2500
Cl: 0.7500 0.7500 0.7500

## Properties
- Crystal system: cubic
- Raw total energy: -3.01 eV/atom
- Size of the total moment: 0.000 μB per atom

=====

Here is a geometry-optimized BeAg2BW structure from Alexandria via LeMat-Bulk. Energies are from PBE.

Unit cell a=4.4993 b=4.4993 c=3.5373 alpha=90.00 beta=90.00 gamma=90.00
Fractional coordinates of all 5 atoms:
Be: 0.0000 0.0000 0.0000
B: 0.0000 0.0000 0.5000
Ag: 0.0000 0.5000 0.0000
Ag: 0.5000 0.0000 0.0000
W: 0.5000 0.5000 0.5000

## Properties
- Energy of formation from the pure elements: 1330 meV/atom
- Crystal system: tetragonal
- Raw total energy: -4.48 eV/atom
- Size of the total moment: 0.000 μB per atom

=====

Here is a geometry-optimized Rb2Ga2Te5 structure from Alexandria via LeMat-Bulk. Energies are from PBE.

Unit cell a=5.1859 b=7.3428 c=10.6776 alpha=100.76 beta=90.00 gamma=110.68
Fractional coordinates of all 9 atoms:
Rb: 0.4053 0.8105 0.6493
Rb: 0.5947 0.1895 0.3507
Ga: 0.1663 0.3325 0.8659
Ga: 0.8337 0.6675 0.1341
Te: 0.3545 0.7090 0.0111
Te: 0.6455 0.2910 0.9889
Te: 0.1101 0.2201 0.6252
Te: 0.8899 0.7799 0.3748
Te: 0.0000 0.0000 0.0000

## Properties
- Crystal system: monoclinic
- Raw total energy: -3.07 eV/atom
- Size of the total moment: 0.000 μB per atom

=====

Here is a geometry-optimized Tm3Ga7Pt2 structure from Alexandria via LeMat-Bulk. Energies are from PBE.

Unit cell a=4.1464 b=4.2070 c=13.4226 alpha=98.89 beta=90.00 gamma=90.00
Fractional coordinates of all 12 atoms:
Tm: 0.0000 0.8176 0.6408
Tm: 0.0000 0.1824 0.3592
Tm: 0.5000 0.5000 0.0000
Ga: 0.5000 0.9198 0.8393
Ga: 0.5000 0.0802 0.1607
Ga: 0.5000 0.7257 0.4511
Ga: 0.5000 0.2743 0.5489
Ga: 0.0000 0.0000 0.0000
Ga: 0.0000 0.4172 0.8408
Ga: 0.0000 0.5828 0.1592
Pt: 0.5000 0.6324 0.2663
Pt: 0.5000 0.3676 0.7337

## Properties
- Energy of formation from the pure elements: -733 meV/atom
- Crystal system: monoclinic
- Raw total energy: -4.62 eV/atom
- Size of the total moment: 0.000 μB per atom

=====

Here is a geometry-optimized InGeS3 structure from Alexandria via LeMat-Bulk. Energies are from PBE.

Unit cell a=3.6708 b=6.4990 c=11.0372 alpha=91.01 beta=90.00 gamma=106.40
Fractional coordinates of all 10 atoms:
In: 0.5939 0.1878 0.9307
In: 0.4061 0.8122 0.0693
Ge: 0.8941 0.7883 0.7220
Ge: 0.1059 0.2117 0.2780
S: 0.3502 0.7004 0.6064
S: 0.6498 0.2996 0.3936
S: 0.8077 0.6155 0.8986
S: 0.1923 0.3845 0.1014
S: 0.0721 0.1443 0.7587
S: 0.9279 0.8557 0.2413

## Properties
- Crystal system: monoclinic
- Raw total energy: -4.30 eV/atom
- Size of the total moment: 0.000 μB per atom

=====

Here is a geometry-optimized KSrY2 structure from Alexandria via LeMat-Bulk. Energies are from PBE.

Unit cell a=9.7651 b=9.7651 c=7.7128 alpha=50.73 beta=50.73 gamma=90.00
Fractional coordinates of all 8 atoms:
Y: 0.6140 0.1250 0.2500
Y: 0.1360 0.6250 0.2500
Y: 0.3750 0.3860 0.7500
Y: 0.8750 0.8640 0.7500
Sr: 0.0000 0.0000 0.0000
Sr: 0.7500 0.2500 0.5000
K: 0.5000 0.5000 0.0000
K: 0.2500 0.7500 0.5000

## Properties
- Polymorph energy (0 for the lowest one): 0.5194 eV per atom
- Energy of formation from the pure elements: 723 meV/atom
- Crystal system: tetragonal
- Raw total energy: -3.20 eV/atom
- Size of the total moment: 0.001 μB per atom

=====

Here is a geometry-optimized Ca3Se structure from Alexandria via LeMat-Bulk. Energies are from PBE.

Unit cell a=5.0446 b=5.0446 c=5.0446 alpha=90.00 beta=90.00 gamma=90.00
Fractional coordinates of all 4 atoms:
Ca: 0.0000 0.5000 0.5000
Ca: 0.5000 0.0000 0.5000
Ca: 0.5000 0.5000 0.0000
Se: 0.0000 0.0000 0.0000

## Properties
- Polymorph energy (0 for the lowest one): 0.4589 eV per atom
- Crystal system: cubic
- Raw total energy: -2.82 eV/atom
- Size of the total moment: 0.000 μB per atom

=====

Here is a geometry-optimized Er2AlGa6 structure from Alexandria via LeMat-Bulk. Energies are from PBE.

Unit cell a=3.3178 b=7.2511 c=8.5155 alpha=115.20 beta=90.06 gamma=90.00
Fractional coordinates of all 9 atoms:
Er: 0.4998 0.7002 0.4003
Er: 0.5002 0.2998 0.5997
Al: 0.0000 0.0000 0.0000
Ga: 0.9990 0.3270 0.2912
Ga: 0.0010 0.0357 0.7088
Ga: 0.0010 0.6730 0.7088
Ga: 0.5000 0.3126 0.0000
Ga: 0.9990 0.9643 0.2912
Ga: 0.5000 0.6874 0.0000

## Properties
- Polymorph energy (0 for the lowest one): 0.1842 eV per atom
- Energy of formation from the pure elements: -258 meV/atom
- Crystal system: monoclinic
- Raw total energy: -3.71 eV/atom
- Size of the total moment: 0.000 μB per atom

=====

Here is a geometry-optimized NpGa2Sn structure from Alexandria via LeMat-Bulk. Energies are from PBE.

Unit cell a=3.6308 b=3.6308 c=6.6568 alpha=90.00 beta=90.00 gamma=90.00
Site moments in Bohr magnetons follow the coordinates.
Fractional coordinates of all 4 atoms:
Np: 0.5000 0.5000 0.5000  4.14
Sn: 0.5000 0.5000 0.0000  0.00
Ga: 0.0000 0.0000 0.7738  0.02
Ga: 0.0000 0.0000 0.2262  0.02

## Properties
- Polymorph energy (0 for the lowest one): 0.2042 eV per atom
- Energy of formation from the pure elements: 18 meV/atom
- Crystal system: tetragonal
- Raw total energy: -5.73 eV/atom
- Size of the total moment: 1.179 μB per atom

=====

Here is a geometry-optimized Ga6IrRu structure from Alexandria via LeMat-Bulk. Energies are from PBE.

Unit cell a=6.7877 b=6.7947 c=6.8161 alpha=59.94 beta=59.91 gamma=59.81
Fractional coordinates of all 8 atoms:
Ga: 0.2514 0.2520 0.7483
Ga: 0.7483 0.2514 0.7483
Ga: 0.7480 0.2516 0.2517
Ga: 0.2517 0.7486 0.2517
Ga: 0.7486 0.7480 0.2517
Ga: 0.2520 0.7484 0.7483
Ir: 0.0000 0.0000 0.0000
Ru: 0.5000 0.5000 0.5000

## Properties
- Energy of formation from the pure elements: -239 meV/atom
- Crystal system: monoclinic
- Raw total energy: -4.78 eV/atom
- Size of the total moment: 0.000 μB per atom